Record 1
Computed, not measured: crystalline FeMo2 at its relaxed geometry at the GGA-PBE level of DFT.

It has space group Cmcm (No. 63), with a = 2.557 Å, b = 15.173 Å, c = 4.550 Å, α = 90.00°, β = 90.00° and γ = 90.00°. Symmetry generates all atoms from Fe at (0.000, 0.219, 0.250), Mo at (0.000, 0.128, 0.750) and Mo at (0.000, 0.449, 0.750).

The total energy is -116.99 eV/cell. The total magnetic moment is 7.8 Bohr magnetons per cell. Its formation enthalpy at 0 K is 28 kJ per mole of atoms.



Record 2
Computed, not measured: crystalline InGa2Se at its relaxed geometry at the GGA-PBE level of DFT.

It has space group R3m (No. 160, hexagonal axes), with a = 3.7928 Å, b = 3.7928 Å, c = 22.7616 Å, α = 90.00°, β = 90.00° and γ = 120.00°. Symmetry generates all atoms from In at (0.0000, 0.0000, 0.0000), Ga at (0.0000, 0.0000, 0.2394), Ga at (0.0000, 0.0000, 0.4251) and Se at (0.0000, 0.0000, 0.8294).

The value obtained for the raw formation energy is -11.83 kJ/mol of atoms. The total energy is -38.30 eV/cell. The total magnetic moment is 0.0 Bohr magnetons per cell. As for the distance to the lowest polymorph of the same formula: 0.0 meV per atom.



Record 3
Computed, not measured: crystalline Ac3PmMg4 at its relaxed geometry at the GGA-PBE level of DFT.

It has space group P4/mmm (No. 123), with a = 4.056 Å, b = 4.056 Å, c = 16.231 Å, α = 90.00°, β = 90.00° and γ = 90.00°. Symmetry generates all atoms from Ac at (0.000, 0.000, 0.000), Ac at (0.000, 0.000, 0.259), Pm at (0.000, 0.000, 0.500), Mg at (0.500, 0.500, 0.129) and Mg at (0.500, 0.500, 0.391).

The total energy is -24.10 eV/cell. The total magnetic moment is 0.0 Bohr magnetons per cell. Its formation enthalpy at 0 K is -8 kJ per mole of atoms.